# Na2GaCoF6

A relaxed structure of Na2GaCoF6 (PBE with a Hubbard U, Alexandria via LeMat-Bulk).

Properties
* DFT total energy: -90.10 eV for the cell shown
* Fermi-level density of states: 3.7 states/eV/f.u.

Cell and atoms, written as POSCAR:
```
Na2GaCoF6
1.0
5.617 0.000 0.000
0.000 5.977 0.000
0.000 0.000 8.150
Co Ga F Na
2 2 12 4
Cartesian
0.000 4.320 4.075 Co
2.809 1.657 0.000 Co
2.809 1.389 4.075 Ga
0.000 4.589 0.000 Ga
1.384 2.652 4.075 F
1.425 3.326 0.000 F
0.000 4.704 1.922 F
4.234 2.652 4.075 F
0.000 4.704 6.227 F
4.178 0.008 4.075 F
2.809 1.273 5.997 F
1.370 5.969 0.000 F
4.192 3.326 0.000 F
4.248 5.969 0.000 F
2.809 1.273 2.152 F
1.439 0.008 4.075 F
2.809 4.819 1.744 Na
0.000 1.158 5.819 Na
0.000 1.158 2.331 Na
2.809 4.819 6.405 Na
```